This record from OQMD describes a geometry-optimized RbCuIr structure. The functional is GGA-PBE.

The space group is F-43m (No. 216) and the conventional cell measures 6.7646, 6.7646 and 6.7646 Å, with angles of 90.00, 90.00 and 90.00 degrees. The inequivalent atoms are Rb at (0.0000, 0.0000, 0.0000), Cu at (0.2500, 0.2500, 0.7500) and Ir at (0.2500, 0.2500, 0.2500).

The raw total energy comes out at -2.3344 eV per atom. The energy above the most stable polymorph in this dataset is 715 meV per atom.